1.
# PBE BaSr3Ca8, relaxed
# - Formation enthalpy at 0 K: 0.020 eV/atom
# - Density of states at the Fermi level: 15.63 states/eV/cell
# - Crystal system: triclinic
# - V: 46.549 Å³/atom
data_BaSr3Ca8
_chemical_formula_sum 'Ba1 Sr3 Ca8'
_symmetry_space_group_name_H-M 'P 1'
_symmetry_Int_Tables_number 1
_cell_length_a 4.064
_cell_length_b 8.918
_cell_length_c 16.260
_cell_angle_alpha 77.02
_cell_angle_beta 89.81
_cell_angle_gamma 76.89
loop_
_symmetry_equiv_pos_as_xyz
'x,y,z'
loop_
_atom_site_label
_atom_site_type_symbol
_atom_site_fract_x
_atom_site_fract_y
_atom_site_fract_z
Ba1 Ba 0.000 0.000 0.000
Sr1 Sr 0.329 0.328 0.582
Sr2 Sr 0.653 0.682 0.664
Sr3 Sr 0.989 0.010 0.251
Ca1 Ca 0.319 0.356 0.082
Ca2 Ca 0.321 0.344 0.334
Ca3 Ca 0.327 0.343 0.831
Ca4 Ca 0.657 0.670 0.415
Ca5 Ca 0.669 0.660 0.914
Ca6 Ca 0.670 0.655 0.173
Ca7 Ca 0.990 0.005 0.493
Ca8 Ca 0.994 0.004 0.753

2.
# PBE BaSr2Ca8, relaxed
# - Formation enthalpy at 0 K: 0.162 eV/atom
# - Density of states at the Fermi level: 12.84 states/eV/cell
# - Crystal system: monoclinic
# - V: 48.997 Å³/atom
data_BaSr2Ca8
_chemical_formula_sum 'Ba1 Sr2 Ca8'
_symmetry_space_group_name_H-M 'P 1'
_symmetry_Int_Tables_number 1
_cell_length_a 9.514
_cell_length_b 9.514
_cell_length_c 6.191
_cell_angle_alpha 90.19
_cell_angle_beta 90.19
_cell_angle_gamma 105.90
loop_
_symmetry_equiv_pos_as_xyz
'x,y,z'
loop_
_atom_site_label
_atom_site_type_symbol
_atom_site_fract_x
_atom_site_fract_y
_atom_site_fract_z
Ba1 Ba 0.000 0.000 0.000
Sr1 Sr 0.378 0.622 0.500
Sr2 Sr 0.622 0.378 0.500
Ca1 Ca 0.033 0.299 0.502
Ca2 Ca 0.251 0.749 0.000
Ca3 Ca 0.299 0.033 0.502
Ca4 Ca 0.337 0.337 0.000
Ca5 Ca 0.663 0.663 0.000
Ca6 Ca 0.701 0.967 0.498
Ca7 Ca 0.749 0.251 0.000
Ca8 Ca 0.967 0.701 0.498

3.
# PBE BaSrCa, relaxed
# - Formation enthalpy at 0 K: 0.029 eV/atom
# - Density of states at the Fermi level: 4.27 states/eV/cell
# - Crystal system: trigonal
# - V: 52.130 Å³/atom
data_BaSrCa
_chemical_formula_sum 'Ba1 Sr1 Ca1'
_symmetry_space_group_name_H-M 'P 1'
_symmetry_Int_Tables_number 1
_cell_length_a 6.671
_cell_length_b 6.671
_cell_length_c 4.058
_cell_angle_alpha 90.00
_cell_angle_beta 90.00
_cell_angle_gamma 120.00
loop_
_symmetry_equiv_pos_as_xyz
'x,y,z'
loop_
_atom_site_label
_atom_site_type_symbol
_atom_site_fract_x
_atom_site_fract_y
_atom_site_fract_z
Ba1 Ba 0.000 0.000 0.000
Sr1 Sr 0.667 0.333 0.652
Ca1 Ca 0.333 0.667 0.341

4.
# PBE BaSr8Ca2, relaxed
# - Formation enthalpy at 0 K: 0.133 eV/atom
# - Density of states at the Fermi level: 14.25 states/eV/cell
# - Crystal system: monoclinic
# - V: 55.358 Å³/atom
data_BaSr8Ca2
_chemical_formula_sum 'Ba1 Sr8 Ca2'
_symmetry_space_group_name_H-M 'P 1'
_symmetry_Int_Tables_number 1
_cell_length_a 10.696
_cell_length_b 10.696
_cell_length_c 7.088
_cell_angle_alpha 104.24
_cell_angle_beta 104.24
_cell_angle_gamma 120.27
loop_
_symmetry_equiv_pos_as_xyz
'x,y,z'
loop_
_atom_site_label
_atom_site_type_symbol
_atom_site_fract_x
_atom_site_fract_y
_atom_site_fract_z
Ba1 Ba 0.000 0.000 0.000
Sr1 Sr 0.098 0.330 0.641
Sr2 Sr 0.218 0.782 0.000
Sr3 Sr 0.330 0.098 0.641
Sr4 Sr 0.411 0.411 0.197
Sr5 Sr 0.589 0.589 0.803
Sr6 Sr 0.670 0.902 0.359
Sr7 Sr 0.782 0.218 0.000
Sr8 Sr 0.902 0.670 0.359
Ca1 Ca 0.309 0.691 0.500
Ca2 Ca 0.691 0.309 0.500

5.
# PBE Ba5Sr6Ca, relaxed
# - Formation enthalpy at 0 K: 0.018 eV/atom
# - Density of states at the Fermi level: 15.48 states/eV/cell
# - Crystal system: orthorhombic
# - V: 57.794 Å³/atom
data_Ba5Sr6Ca
_chemical_formula_sum 'Ba5 Sr6 Ca1'
_symmetry_space_group_name_H-M 'P 1'
_symmetry_Int_Tables_number 1
_cell_length_a 11.521
_cell_length_b 11.521
_cell_length_c 11.521
_cell_angle_alpha 149.25
_cell_angle_beta 115.75
_cell_angle_gamma 72.91
loop_
_symmetry_equiv_pos_as_xyz
'x,y,z'
loop_
_atom_site_label
_atom_site_type_symbol
_atom_site_fract_x
_atom_site_fract_y
_atom_site_fract_z
Ba1 Ba 0.000 0.000 0.000
Ba2 Ba 0.167 0.667 0.500
Ba3 Ba 0.337 0.337 0.000
Ba4 Ba 0.663 0.663 0.000
Ba5 Ba 0.833 0.333 0.500
Sr1 Sr 0.089 0.836 0.254
Sr2 Sr 0.257 0.500 0.757
Sr3 Sr 0.418 0.164 0.254
Sr4 Sr 0.582 0.836 0.746
Sr5 Sr 0.743 0.500 0.243
Sr6 Sr 0.911 0.164 0.746
Ca1 Ca 0.500 0.000 0.500

6.
# PBE Ba6Sr2Ca3, relaxed
# - Formation enthalpy at 0 K: 0.353 eV/atom
# - Density of states at the Fermi level: 17.06 states/eV/cell
# - Crystal system: tetragonal
# - V: 63.454 Å³/atom
data_Ba6Sr2Ca3
_chemical_formula_sum 'Ba6 Sr2 Ca3'
_symmetry_space_group_name_H-M 'P 1'
_symmetry_Int_Tables_number 1
_cell_length_a 14.804
_cell_length_b 14.804
_cell_length_c 14.804
_cell_angle_alpha 152.34
_cell_angle_beta 152.34
_cell_angle_gamma 39.52
loop_
_symmetry_equiv_pos_as_xyz
'x,y,z'
loop_
_atom_site_label
_atom_site_type_symbol
_atom_site_fract_x
_atom_site_fract_y
_atom_site_fract_z
Ba1 Ba 0.079 0.579 0.500
Ba2 Ba 0.201 0.201 0.000
Ba3 Ba 0.421 0.921 0.500
Ba4 Ba 0.579 0.079 0.500
Ba5 Ba 0.799 0.799 0.000
Ba6 Ba 0.921 0.421 0.500
Sr1 Sr 0.061 0.061 0.000
Sr2 Sr 0.939 0.939 0.000
Ca1 Ca 0.352 0.352 0.000
Ca2 Ca 0.500 0.500 0.000
Ca3 Ca 0.648 0.648 0.000

7.
# PBE Ba5Sr4Ca4, relaxed
# - Formation enthalpy at 0 K: 0.021 eV/atom
# - Density of states at the Fermi level: 17.96 states/eV/cell
# - Crystal system: tetragonal
# - V: 53.768 Å³/atom
data_Ba5Sr4Ca4
_chemical_formula_sum 'Ba5 Sr4 Ca4'
_symmetry_space_group_name_H-M 'P 1'
_symmetry_Int_Tables_number 1
_cell_length_a 12.284
_cell_length_b 12.284
_cell_length_c 12.284
_cell_angle_alpha 92.20
_cell_angle_beta 92.20
_cell_angle_gamma 157.38
loop_
_symmetry_equiv_pos_as_xyz
'x,y,z'
loop_
_atom_site_label
_atom_site_type_symbol
_atom_site_fract_x
_atom_site_fract_y
_atom_site_fract_z
Ba1 Ba 0.000 0.000 0.000
Ba2 Ba 0.296 0.546 0.842
Ba3 Ba 0.454 0.296 0.749
Ba4 Ba 0.546 0.704 0.251
Ba5 Ba 0.704 0.454 0.158
Sr1 Sr 0.150 0.756 0.906
Sr2 Sr 0.244 0.150 0.395
Sr3 Sr 0.756 0.850 0.605
Sr4 Sr 0.850 0.244 0.094
Ca1 Ca 0.072 0.399 0.470
Ca2 Ca 0.399 0.928 0.327
Ca3 Ca 0.601 0.072 0.673
Ca4 Ca 0.928 0.601 0.530

8.
# PBE BaSr5Ca8, relaxed
# - Formation enthalpy at 0 K: 0.153 eV/atom
# - Density of states at the Fermi level: 17.85 states/eV/cell
# - Crystal system: tetragonal
# - V: 50.948 Å³/atom
data_BaSr5Ca8
_chemical_formula_sum 'Ba1 Sr5 Ca8'
_symmetry_space_group_name_H-M 'P 1'
_symmetry_Int_Tables_number 1
_cell_length_a 9.832
_cell_length_b 9.832
_cell_length_c 9.832
_cell_angle_alpha 115.04
_cell_angle_beta 115.04
_cell_angle_gamma 98.83
loop_
_symmetry_equiv_pos_as_xyz
'x,y,z'
loop_
_atom_site_label
_atom_site_type_symbol
_atom_site_fract_x
_atom_site_fract_y
_atom_site_fract_z
Ba1 Ba 0.000 0.000 0.000
Sr1 Sr 0.035 0.447 0.871
Sr2 Sr 0.250 0.750 0.500
Sr3 Sr 0.553 0.424 0.588
Sr4 Sr 0.576 0.164 0.129
Sr5 Sr 0.836 0.965 0.412
Ca1 Ca 0.068 0.339 0.420
Ca2 Ca 0.315 0.220 0.739
Ca3 Ca 0.351 0.932 0.270
Ca4 Ca 0.424 0.685 0.905
Ca5 Ca 0.481 0.576 0.261
Ca6 Ca 0.661 0.081 0.730
Ca7 Ca 0.780 0.519 0.095
Ca8 Ca 0.919 0.649 0.580

9.
# PBE Ba2Sr2Ca, relaxed
# - Formation enthalpy at 0 K: 0.285 eV/atom
# - Density of states at the Fermi level: 7.17 states/eV/cell
# - Crystal system: tetragonal
# - V: 59.312 Å³/atom
data_Ba2Sr2Ca
_chemical_formula_sum 'Ba2 Sr2 Ca1'
_symmetry_space_group_name_H-M 'P 1'
_symmetry_Int_Tables_number 1
_cell_length_a 11.170
_cell_length_b 11.170
_cell_length_c 11.170
_cell_angle_alpha 152.50
_cell_angle_beta 152.50
_cell_angle_gamma 39.28
loop_
_symmetry_equiv_pos_as_xyz
'x,y,z'
loop_
_atom_site_label
_atom_site_type_symbol
_atom_site_fract_x
_atom_site_fract_y
_atom_site_fract_z
Ba1 Ba 0.250 0.750 0.500
Ba2 Ba 0.750 0.250 0.500
Sr1 Sr 0.092 0.092 0.000
Sr2 Sr 0.908 0.908 0.000
Ca1 Ca 0.500 0.500 0.000

10.
# PBE Ba12Sr3Ca, relaxed
# - Formation enthalpy at 0 K: 0.006 eV/atom
# - Density of states at the Fermi level: 20.49 states/eV/cell
# - Crystal system: tetragonal
# - V: 59.914 Å³/atom
data_Ba12Sr3Ca
_chemical_formula_sum 'Ba12 Sr3 Ca1'
_symmetry_space_group_name_H-M 'P 1'
_symmetry_Int_Tables_number 1
_cell_length_a 6.959
_cell_length_b 6.959
_cell_length_c 19.797
_cell_angle_alpha 90.00
_cell_angle_beta 90.00
_cell_angle_gamma 90.00
loop_
_symmetry_equiv_pos_as_xyz
'x,y,z'
loop_
_atom_site_label
_atom_site_type_symbol
_atom_site_fract_x
_atom_site_fract_y
_atom_site_fract_z
Ba1 Ba 0.000 0.000 0.000
Ba2 Ba 0.000 0.000 0.248
Ba3 Ba 0.000 0.000 0.500
Ba4 Ba 0.000 0.000 0.752
Ba5 Ba 0.000 0.500 0.121
Ba6 Ba 0.000 0.500 0.374
Ba7 Ba 0.000 0.500 0.626
Ba8 Ba 0.000 0.500 0.879
Ba9 Ba 0.500 0.000 0.121
Ba10 Ba 0.500 0.000 0.374
Ba11 Ba 0.500 0.000 0.626
Ba12 Ba 0.500 0.000 0.879
Sr1 Sr 0.500 0.500 0.248
Sr2 Sr 0.500 0.500 0.500
Sr3 Sr 0.500 0.500 0.752
Ca1 Ca 0.500 0.500 0.000

11.
# PBE Ba3Sr2Ca8, relaxed
# - Formation enthalpy at 0 K: 0.087 eV/atom
# - Density of states at the Fermi level: 19.31 states/eV/cell
# - Crystal system: monoclinic
# - V: 49.667 Å³/atom
data_Ba3Sr2Ca8
_chemical_formula_sum 'Ba3 Sr2 Ca8'
_symmetry_space_group_name_H-M 'P 1'
_symmetry_Int_Tables_number 1
_cell_length_a 10.046
_cell_length_b 10.046
_cell_length_c 6.969
_cell_angle_alpha 106.55
_cell_angle_beta 106.55
_cell_angle_gamma 83.18
loop_
_symmetry_equiv_pos_as_xyz
'x,y,z'
loop_
_atom_site_label
_atom_site_type_symbol
_atom_site_fract_x
_atom_site_fract_y
_atom_site_fract_z
Ba1 Ba 0.000 0.000 0.000
Ba2 Ba 0.249 0.751 0.500
Ba3 Ba 0.751 0.249 0.500
Sr1 Sr 0.300 0.300 0.162
Sr2 Sr 0.700 0.700 0.838
Ca1 Ca 0.080 0.564 0.816
Ca2 Ca 0.164 0.164 0.582
Ca3 Ca 0.432 0.432 0.731
Ca4 Ca 0.436 0.920 0.184
Ca5 Ca 0.564 0.080 0.816
Ca6 Ca 0.568 0.568 0.269
Ca7 Ca 0.836 0.836 0.418
Ca8 Ca 0.920 0.436 0.184

Q: Which formula does entry 7 have?
A: Ba5Sr4Ca4

What did the first record say?
# PBE BaSr3Ca8, relaxed
# - Formation enthalpy at 0 K: 0.020 eV/atom
# - Density of states at the Fermi level: 15.63 states/eV/cell
# - Crystal system: triclinic
# - V: 46.549 Å³/atom
data_BaSr3Ca8
_chemical_formula_sum 'Ba1 Sr3 Ca8'
_symmetry_space_group_name_H-M 'P 1'
_symmetry_Int_Tables_number 1
_cell_length_a 4.064
_cell_length_b 8.918
_cell_length_c 16.260
_cell_angle_alpha 77.02
_cell_angle_beta 89.81
_cell_angle_gamma 76.89
loop_
_symmetry_equiv_pos_as_xyz
'x,y,z'
loop_
_atom_site_label
_atom_site_type_symbol
_atom_site_fract_x
_atom_site_fract_y
_atom_site_fract_z
Ba1 Ba 0.000 0.000 0.000
Sr1 Sr 0.329 0.328 0.582
Sr2 Sr 0.653 0.682 0.664
Sr3 Sr 0.989 0.010 0.251
Ca1 Ca 0.319 0.356 0.082
Ca2 Ca 0.321 0.344 0.334
Ca3 Ca 0.327 0.343 0.831
Ca4 Ca 0.657 0.670 0.415
Ca5 Ca 0.669 0.660 0.914
Ca6 Ca 0.670 0.655 0.173
Ca7 Ca 0.990 0.005 0.493
Ca8 Ca 0.994 0.004 0.753